VASP calculation (GGA+U) on crystalline MnFe3P4O16 at its relaxed geometry.

Summary:
energy above the lowest structure with this stoichiometry	0	meV per atom

Cell: 4.884 9.940 11.881 Å, 90.00 90.00 90.00°
Fractional positions:
1 O 0.029 0.877 0.500
2 Fe 0.296 0.777 0.251
3 O 0.599 0.557 0.500
4 O 0.993 0.671 0.147
5 O 0.003 0.170 0.152
6 O 0.997 0.670 0.652
7 Fe 0.792 0.725 0.000
8 O 0.007 0.171 0.647
9 O 0.905 0.446 0.250
10 P 0.155 0.097 0.252
11 P 0.340 0.905 0.000
12 O 0.462 0.123 0.252
13 O 0.511 0.332 0.399
14 Fe 0.704 0.277 0.751
15 O 0.971 0.377 0.000
16 O 0.095 0.946 0.250
17 O 0.997 0.670 0.348
18 O 0.401 0.057 0.000
19 O 0.516 0.330 0.103
20 P 0.657 0.400 0.000
21 O 0.007 0.171 0.353
22 P 0.845 0.597 0.752
23 P 0.155 0.097 0.748
24 Fe 0.208 0.225 0.500
25 O 0.489 0.832 0.101
26 O 0.032 0.881 0.000
27 P 0.660 0.405 0.500
28 O 0.608 0.552 0.000
29 O 0.905 0.446 0.750
30 Fe 0.296 0.777 0.749
31 O 0.538 0.623 0.752
32 O 0.003 0.170 0.848
33 O 0.095 0.946 0.750
34 P 0.845 0.597 0.248
35 O 0.489 0.832 0.899
36 O 0.484 0.830 0.603
37 Mn 0.823 0.716 0.500
38 Fe 0.704 0.277 0.249
39 O 0.538 0.623 0.248
40 O 0.484 0.830 0.397
41 O 0.511 0.332 0.601
42 Mn 0.177 0.216 0.000
43 O 0.462 0.123 0.748
44 O 0.392 0.052 0.500
45 P 0.343 0.900 0.500
46 O 0.516 0.330 0.897
47 O 0.993 0.671 0.853
48 O 0.968 0.381 0.500